(1)
The following is a GGA-PBE calculation of a relaxed Zn3Br crystal, from Alexandria.

a = 3.6616 Å, b = 3.6616 Å, c = 6.8678 Å
α = 90.00°, β = 90.00°, γ = 90.00°
Positions (direct):
1 Zn 0.0000 0.0000 0.0000
2 Zn 0.0000 0.5000 0.6907
3 Zn 0.5000 0.0000 0.6907
4 Br 0.5000 0.5000 0.1865

Values from the calculation:
As for the crystal system: tetragonal. The space group is No. 99. As for the density of states at the Fermi level: 0.76 states/eV per atom. For the density, the calculation gives 5.0 g/cm3. As for the formation energy without anion corrections: 0.076 eV per atom. The energy above the lowest structure with this stoichiometry comes out at 236 meV/atom.



(2)
The following is a GGA-PBE calculation of a relaxed Zn2Br crystal, from Alexandria.

a = 3.7776 Å, b = 3.7776 Å, c = 5.3528 Å
α = 90.00°, β = 90.00°, γ = 120.00°
Positions (direct):
1 Zn 0.3333 0.6667 0.1313
2 Zn 0.6667 0.3333 0.8687
3 Br 0.0000 0.0000 0.5000

Values from the calculation:
As for the crystal system: trigonal. The space group is No. 164. As for the density of states at the Fermi level: 0.15 states/eV per atom. For the density, the calculation gives 5.3 g/cm3. As for the formation energy without anion corrections: -0.138 eV per atom. The energy above the lowest structure with this stoichiometry comes out at 0 meV/atom.



(3)
The following is a GGA-PBE calculation of a relaxed Zn3Br crystal, from Alexandria.

a = 5.3042 Å, b = 8.5769 Å, c = 3.8096 Å
α = 90.00°, β = 90.00°, γ = 90.00°
Positions (direct):
1 Zn 0.0000 0.0000 0.0000
2 Zn 0.2500 0.2500 0.5000
3 Zn 0.2500 0.7500 0.5000
4 Zn 0.5000 0.5000 0.0000
5 Zn 0.7500 0.2500 0.5000
6 Zn 0.7500 0.7500 0.5000
7 Br 0.0000 0.5000 0.0000
8 Br 0.5000 0.0000 0.0000

Values from the calculation:
As for the crystal system: orthorhombic. The space group is No. 65. As for the density of states at the Fermi level: 0.45 states/eV per atom. For the density, the calculation gives 5.3 g/cm3. As for the formation energy without anion corrections: 0.159 eV per atom. The energy above the lowest structure with this stoichiometry comes out at 318 meV/atom.



(4)
The following is a GGA-PBE calculation of a relaxed Zn2Br crystal, from Alexandria.

a = 5.9356 Å, b = 5.9356 Å, c = 5.1675 Å
α = 90.00°, β = 90.00°, γ = 120.00°
Positions (direct):
1 Zn 0.0000 0.0000 0.0000
2 Zn 0.0000 0.0000 0.5000
3 Zn 0.3333 0.6667 0.2500
4 Zn 0.6667 0.3333 0.7500
5 Br 0.3333 0.6667 0.7500
6 Br 0.6667 0.3333 0.2500

Values from the calculation:
As for the crystal system: hexagonal. The space group is No. 194. As for the density of states at the Fermi level: 0.02 states/eV per atom. For the density, the calculation gives 4.4 g/cm3. As for the formation energy without anion corrections: 0.063 eV per atom. The energy above the lowest structure with this stoichiometry comes out at 201 meV/atom.



(5)
The following is a GGA-PBE calculation of a relaxed ZnBr4 crystal, from Alexandria.

a = 6.5855 Å, b = 6.5855 Å, c = 6.5855 Å
α = 90.00°, β = 90.00°, γ = 90.00°
Positions (direct):
1 Zn 0.0000 0.0000 0.0000
2 Zn 0.5000 0.5000 0.5000
3 Br 0.2500 0.2500 0.2500
4 Br 0.2500 0.2500 0.7500
5 Br 0.2500 0.7500 0.2500
6 Br 0.2500 0.7500 0.7500
7 Br 0.7500 0.2500 0.2500
8 Br 0.7500 0.2500 0.7500
9 Br 0.7500 0.7500 0.2500
10 Br 0.7500 0.7500 0.7500

Values from the calculation:
As for the crystal system: cubic. The space group is No. 229. As for the density of states at the Fermi level: 1.45 states/eV per atom. For the density, the calculation gives 4.5 g/cm3. As for the formation energy without anion corrections: 0.077 eV per atom.



(6)
The following is a GGA-PBE calculation of a relaxed Zn3Br crystal, from Alexandria.

a = 4.9014 Å, b = 4.9014 Å, c = 3.4783 Å
α = 90.00°, β = 90.00°, γ = 90.00°
Positions (direct):
1 Zn 0.0000 0.0000 0.0000
2 Zn 0.0000 0.5000 0.5000
3 Zn 0.5000 0.0000 0.5000
4 Br 0.5000 0.5000 0.0000

Values from the calculation:
As for the crystal system: tetragonal. The space group is No. 123. As for the density of states at the Fermi level: 0.54 states/eV per atom. For the density, the calculation gives 5.5 g/cm3. As for the formation energy without anion corrections: 0.217 eV per atom. The energy above the lowest structure with this stoichiometry comes out at 376 meV/atom.



(7)
The following is a GGA-PBE calculation of a relaxed Zn2Br crystal, from Alexandria.

a = 3.6898 Å, b = 12.0759 Å, c = 6.3668 Å
α = 90.00°, β = 90.00°, γ = 90.00°
Positions (direct):
1 Zn 0.0000 0.1155 0.2500
2 Zn 0.0000 0.2378 0.7500
3 Zn 0.0000 0.7622 0.2500
4 Zn 0.0000 0.8845 0.7500
5 Zn 0.5000 0.2622 0.2500
6 Zn 0.5000 0.3845 0.7500
7 Zn 0.5000 0.6155 0.2500
8 Zn 0.5000 0.7378 0.7500
9 Br 0.0000 0.4352 0.2500
10 Br 0.0000 0.5648 0.7500
11 Br 0.5000 0.0648 0.7500
12 Br 0.5000 0.9352 0.2500

Values from the calculation:
As for the crystal system: orthorhombic. The space group is No. 63. As for the density of states at the Fermi level: 0.23 states/eV per atom. For the density, the calculation gives 4.9 g/cm3. As for the formation energy without anion corrections: -0.025 eV per atom. The energy above the lowest structure with this stoichiometry comes out at 113 meV/atom.



(8)
The following is a GGA-PBE calculation of a relaxed Zn3Br crystal, from Alexandria.

a = 8.8115 Å, b = 8.8115 Å, c = 3.7247 Å
α = 90.00°, β = 90.00°, γ = 120.00°
Positions (direct):
1 Zn 0.0000 0.5000 0.0000
2 Zn 0.1667 0.3333 0.3333
3 Zn 0.1667 0.8333 0.3333
4 Zn 0.3333 0.1667 0.6667
5 Zn 0.5000 0.0000 0.0000
6 Zn 0.5000 0.5000 0.0000
7 Zn 0.6667 0.8333 0.3333
8 Zn 0.8333 0.1667 0.6667
9 Zn 0.8333 0.6667 0.6667
10 Br 0.0000 0.0000 0.0000
11 Br 0.3333 0.6667 0.6667
12 Br 0.6667 0.3333 0.3333

Values from the calculation:
As for the crystal system: trigonal. The space group is No. 166. As for the density of states at the Fermi level: 0.35 states/eV per atom. For the density, the calculation gives 5.5 g/cm3. As for the formation energy without anion corrections: 0.135 eV per atom. The energy above the lowest structure with this stoichiometry comes out at 294 meV/atom.



(9)
The following is a GGA-PBE calculation of a relaxed Zn2Br crystal, from Alexandria.

a = 5.0833 Å, b = 5.0833 Å, c = 11.0801 Å
α = 90.00°, β = 90.00°, γ = 90.00°
Positions (direct):
1 Zn 0.0000 0.2500 0.0010
2 Zn 0.0000 0.2500 0.7490
3 Zn 0.0000 0.7500 0.2510
4 Zn 0.0000 0.7500 0.9990
5 Zn 0.5000 0.2500 0.4990
6 Zn 0.5000 0.2500 0.7510
7 Zn 0.5000 0.7500 0.2490
8 Zn 0.5000 0.7500 0.5010
9 Br 0.0000 0.2500 0.3750
10 Br 0.0000 0.7500 0.6250
11 Br 0.5000 0.2500 0.1250
12 Br 0.5000 0.7500 0.8750

Values from the calculation:
As for the crystal system: tetragonal. The space group is No. 141. As for the density of states at the Fermi level: 0.31 states/eV per atom. For the density, the calculation gives 4.9 g/cm3. As for the formation energy without anion corrections: -0.057 eV per atom. The energy above the lowest structure with this stoichiometry comes out at 81 meV/atom.



(10)
The following is a GGA-PBE calculation of a relaxed Zn8Br crystal, from Alexandria.

a = 6.7262 Å, b = 6.7262 Å, c = 6.7262 Å
α = 94.71°, β = 94.71°, γ = 146.69°
Positions (direct):
1 Zn 0.0000 0.3475 0.3475
2 Zn 0.0000 0.6525 0.6525
3 Zn 0.3171 0.3171 0.6342
4 Zn 0.3171 0.6829 0.0000
5 Zn 0.3475 0.0000 0.3475
6 Zn 0.6525 0.0000 0.6525
7 Zn 0.6829 0.3171 0.0000
8 Zn 0.6829 0.6829 0.3658
9 Br 0.0000 0.0000 0.0000

Values from the calculation:
As for the crystal system: tetragonal. The space group is No. 139. As for the density of states at the Fermi level: 0.43 states/eV per atom. For the density, the calculation gives 6.3 g/cm3. As for the formation energy without anion corrections: 0.162 eV per atom.



(11)
The following is a GGA-PBE calculation of a relaxed ZnBr3 crystal, from Alexandria.

a = 8.5922 Å, b = 8.5922 Å, c = 5.2499 Å
α = 90.00°, β = 90.00°, γ = 120.00°
Positions (direct):
1 Zn 0.0000 0.0000 0.0000
2 Zn 0.3333 0.6667 0.6667
3 Zn 0.6667 0.3333 0.3333
4 Br 0.0000 0.5000 0.0000
5 Br 0.1667 0.3333 0.3333
6 Br 0.1667 0.8333 0.3333
7 Br 0.3333 0.1667 0.6667
8 Br 0.5000 0.0000 0.0000
9 Br 0.5000 0.5000 0.0000
10 Br 0.6667 0.8333 0.3333
11 Br 0.8333 0.1667 0.6667
12 Br 0.8333 0.6667 0.6667

Values from the calculation:
As for the crystal system: trigonal. The space group is No. 166. As for the density of states at the Fermi level: 1.50 states/eV per atom. For the density, the calculation gives 4.5 g/cm3. As for the formation energy without anion corrections: 0.179 eV per atom.



(12)
The following is a GGA-PBE calculation of a relaxed ZnBr3 crystal, from Alexandria.

a = 7.3409 Å, b = 7.3486 Å, c = 3.6965 Å
α = 90.00°, β = 90.00°, γ = 90.00°
Positions (direct):
1 Zn 0.0000 0.0000 0.0000
2 Zn 0.5000 0.5000 0.0000
3 Br 0.0000 0.5000 0.0000
4 Br 0.2500 0.2500 0.5000
5 Br 0.2500 0.7500 0.5000
6 Br 0.5000 0.0000 0.0000
7 Br 0.7500 0.2500 0.5000
8 Br 0.7500 0.7500 0.5000

Values from the calculation:
As for the crystal system: orthorhombic. The space group is No. 65. As for the density of states at the Fermi level: 1.09 states/eV per atom. For the density, the calculation gives 5.1 g/cm3. As for the formation energy without anion corrections: 0.319 eV per atom.



(13)
The following is a GGA-PBE calculation of a relaxed Zn3Br crystal, from Alexandria.

a = 3.8964 Å, b = 3.9196 Å, c = 11.2073 Å
α = 90.00°, β = 90.00°, γ = 90.00°
Positions (direct):
1 Zn 0.0000 0.0000 0.0000
2 Zn 0.0000 0.0000 0.2386
3 Zn 0.0000 0.0000 0.7614
4 Zn 0.5000 0.5000 0.2614
5 Zn 0.5000 0.5000 0.5000
6 Zn 0.5000 0.5000 0.7386
7 Br 0.0000 0.0000 0.5000
8 Br 0.5000 0.5000 0.0000

Values from the calculation:
As for the crystal system: orthorhombic. The space group is No. 71. As for the density of states at the Fermi level: 0.29 states/eV per atom. For the density, the calculation gives 5.4 g/cm3. As for the formation energy without anion corrections: 0.074 eV per atom. The energy above the lowest structure with this stoichiometry comes out at 233 meV/atom.



(14)
The following is a GGA-PBE calculation of a relaxed ZnBr3 crystal, from Alexandria.

a = 3.5984 Å, b = 3.5984 Å, c = 11.2292 Å
α = 90.00°, β = 90.00°, γ = 120.00°
Positions (direct):
1 Zn 0.0000 0.0000 0.0000
2 Br 0.0000 0.0000 0.5000
3 Br 0.3333 0.6667 0.1483
4 Br 0.3333 0.6667 0.8517

Values from the calculation:
As for the crystal system: hexagonal. The space group is No. 187. As for the density of states at the Fermi level: 0.76 states/eV per atom. For the density, the calculation gives 4.0 g/cm3. As for the formation energy without anion corrections: -0.261 eV per atom.



(15)
The following is a GGA-PBE calculation of a relaxed ZnBr3 crystal, from Alexandria.

a = 5.2956 Å, b = 7.2302 Å, c = 7.1440 Å
α = 90.00°, β = 90.00°, γ = 90.00°
Positions (direct):
1 Zn 0.2500 0.2500 0.1719
2 Zn 0.7500 0.7500 0.8281
3 Br 0.0023 0.7500 0.1322
4 Br 0.2500 0.7500 0.6462
5 Br 0.4977 0.7500 0.1322
6 Br 0.5023 0.2500 0.8678
7 Br 0.7500 0.2500 0.3538
8 Br 0.9977 0.2500 0.8678

Values from the calculation:
As for the crystal system: orthorhombic. The space group is No. 59. As for the density of states at the Fermi level: 0.62 states/eV per atom. For the density, the calculation gives 3.7 g/cm3. As for the formation energy without anion corrections: -0.088 eV per atom.



(16)
The following is a GGA-PBE calculation of a relaxed ZnBr3 crystal, from Alexandria.

a = 3.3930 Å, b = 8.6847 Å, c = 11.2446 Å
α = 90.00°, β = 90.00°, γ = 90.00°
Positions (direct):
1 Zn 0.0000 0.0000 0.0000
2 Zn 0.5000 0.5000 0.0000
3 Br 0.0000 0.0000 0.5000
4 Br 0.0000 0.5000 0.1588
5 Br 0.0000 0.5000 0.8412
6 Br 0.5000 0.0000 0.1588
7 Br 0.5000 0.0000 0.8412
8 Br 0.5000 0.5000 0.5000

Values from the calculation:
As for the crystal system: orthorhombic. The space group is No. 65. As for the density of states at the Fermi level: 1.01 states/eV per atom. For the density, the calculation gives 3.1 g/cm3. As for the formation energy without anion corrections: -0.279 eV per atom.



(17)
The following is a GGA-PBE calculation of a relaxed ZnBr3 crystal, from Alexandria.

a = 7.3305 Å, b = 7.3305 Å, c = 7.3305 Å
α = 90.00°, β = 90.00°, γ = 90.00°
Positions (direct):
1 Zn 0.0000 0.0000 0.0000
2 Zn 0.0000 0.5000 0.5000
3 Zn 0.5000 0.0000 0.5000
4 Zn 0.5000 0.5000 0.0000
5 Br 0.0000 0.0000 0.5000
6 Br 0.0000 0.5000 0.0000
7 Br 0.2500 0.2500 0.2500
8 Br 0.2500 0.2500 0.7500
9 Br 0.2500 0.7500 0.2500
10 Br 0.2500 0.7500 0.7500
11 Br 0.5000 0.0000 0.0000
12 Br 0.5000 0.5000 0.5000
13 Br 0.7500 0.2500 0.2500
14 Br 0.7500 0.2500 0.7500
15 Br 0.7500 0.7500 0.2500
16 Br 0.7500 0.7500 0.7500

Values from the calculation:
As for the crystal system: cubic. The space group is No. 225. As for the density of states at the Fermi level: 0.63 states/eV per atom. For the density, the calculation gives 5.1 g/cm3. As for the formation energy without anion corrections: 0.274 eV per atom.



(18)
The following is a GGA-PBE calculation of a relaxed ZnBr3 crystal, from Alexandria.

a = 3.3047 Å, b = 3.3047 Å, c = 10.8767 Å
α = 90.00°, β = 90.00°, γ = 90.00°
Positions (direct):
1 Zn 0.0000 0.0000 0.0000
2 Br 0.0000 0.0000 0.5000
3 Br 0.5000 0.5000 0.1508
4 Br 0.5000 0.5000 0.8492

Values from the calculation:
As for the crystal system: tetragonal. The space group is No. 123. As for the density of states at the Fermi level: 0.74 states/eV per atom. For the density, the calculation gives 4.3 g/cm3. As for the formation energy without anion corrections: -0.040 eV per atom.



(19)
The following is a GGA-PBE calculation of a relaxed Zn3Br crystal, from Alexandria.

a = 3.2317 Å, b = 3.2317 Å, c = 7.4245 Å
α = 90.00°, β = 90.00°, γ = 90.00°
Positions (direct):
1 Zn 0.0000 0.0000 0.0000
2 Zn 0.5000 0.5000 0.2223
3 Zn 0.5000 0.5000 0.7777
4 Br 0.0000 0.0000 0.5000

Values from the calculation:
As for the crystal system: tetragonal. The space group is No. 123. As for the density of states at the Fermi level: 0.23 states/eV per atom. For the density, the calculation gives 5.9 g/cm3. As for the formation energy without anion corrections: 0.091 eV per atom. The energy above the lowest structure with this stoichiometry comes out at 250 meV/atom.



(20)
The following is a GGA-PBE calculation of a relaxed ZnBr3 crystal, from Alexandria.

a = 3.2987 Å, b = 7.5615 Å, c = 11.9086 Å
α = 90.00°, β = 90.00°, γ = 90.00°
Positions (direct):
1 Zn 0.0000 0.0000 0.0000
2 Zn 0.5000 0.5000 0.5000
3 Br 0.0000 0.0000 0.5000
4 Br 0.0000 0.5000 0.3472
5 Br 0.0000 0.5000 0.6528
6 Br 0.5000 0.0000 0.1528
7 Br 0.5000 0.0000 0.8472
8 Br 0.5000 0.5000 0.0000

Values from the calculation:
As for the crystal system: orthorhombic. The space group is No. 71. As for the density of states at the Fermi level: 0.81 states/eV per atom. For the density, the calculation gives 3.4 g/cm3. As for the formation energy without anion corrections: -0.332 eV per atom.